## SmDy2TmP4 (PBE)

Data for a relaxed SmDy2TmP4 crystal.

Geometry as POSCAR:
```
SmDy2TmP4
1.0
6.958 0.000 0.000
0.000 4.020 0.000
-2.319 0.000 6.561
Sm Dy Tm P
1 2 1 4
direct
0.000 0.000 0.000
0.000 0.500 0.500
0.500 0.000 0.500
0.500 0.500 0.000
0.255 0.000 0.750
0.255 0.500 0.253
0.745 0.000 0.250
0.745 0.500 0.747
```

Results
E_tot ... -52.797 eV per formula unit
Total moment ... 0.00 μB/cell